The following is a GGA+U calculation of a geometry-optimized MgMnV2O6 structure, from Alexandria via LeMat-Bulk.

Unit cell a=5.3761 b=6.7605 c=6.7605 alpha=85.27 beta=83.50 gamma=83.50
Each line ends with the local moment (μB).
Element x y z (fractional)
1 Mg 0.2500 0.2778 0.7222  0.00
2 Mg 0.7500 0.7222 0.2778  0.00
3 Mn 0.2500 0.9091 0.0909  4.57
4 Mn 0.7500 0.0909 0.9091  4.57
5 V 0.2066 0.7962 0.6003  1.16
6 V 0.2934 0.3997 0.2038  1.16
7 V 0.7934 0.2038 0.3997  1.16
8 V 0.7066 0.6003 0.7962  1.16
9 O 0.1316 0.9780 0.7879  -0.02
10 O 0.3684 0.2121 0.0220  -0.02
11 O 0.8684 0.0220 0.2121  -0.02
12 O 0.6316 0.7879 0.9780  -0.02
13 O 0.3919 0.8483 0.3748  -0.04
14 O 0.1081 0.6252 0.1517  -0.04
15 O 0.6081 0.1517 0.6252  -0.04
16 O 0.8919 0.3748 0.8483  -0.04
17 O 0.8875 0.7127 0.5668  -0.02
18 O 0.6125 0.4332 0.2873  -0.02
19 O 0.1125 0.2873 0.4332  -0.02
20 O 0.3875 0.5668 0.7127  -0.02

Properties
**Total moment**: 0.70 μB/atom
**Energy**: -148.48 eV for the cell shown